The following is a DFT calculation (GGA-PBEsol) of a geometry-optimized BaIr2Cl structure.

Properties
**Crystal system**: monoclinic
**E_tot**: -6.111 eV per atom
**Fermi-level density of states**: 2.048 states/eV/cell
**Symmetry**: Pm, No. 6
**Formation energy without anion corrections**: -15 kJ/mol of atoms
**Polymorph energy (0 for the lowest one)**: 0.00 eV/f.u.

a b c (Å): 3.472 3.482 7.851
angles (deg): 90.00 93.97 90.00
Element x y z (fractional)
Ir 0.469 0.500 0.182
Ir 0.957 0.000 0.101
Ba 0.020 0.000 0.497
Cl 0.554 0.500 0.720